No. 1
DFT (PBE with a Hubbard U) results for a relaxed structure of AlCrAgF2.

The space group is P4/mmm (123). The total magnetization comes out at 4.9 μB per formula unit.

a = 3.7581 Å, b = 3.7581 Å, c = 6.2466 Å
α = 90.00°, β = 90.00°, γ = 90.00°
Positions (direct):
1 Al 0.0000 0.0000 0.0000
2 Cr 0.0000 0.0000 0.5000
3 Ag 0.5000 0.5000 0.5000
4 F 0.0000 0.5000 0.0000
5 F 0.5000 0.0000 0.0000



No. 2
DFT (PBE with a Hubbard U) results for a relaxed structure of AlCrAgF6.

The space group is P-31c (163). The total magnetization comes out at 4.0 μB per formula unit.

a = 5.3756 Å, b = 5.3756 Å, c = 10.2496 Å
α = 90.00°, β = 90.00°, γ = 120.00°
Positions (direct):
1 Al 0.3333 0.6667 0.2500
2 Al 0.6667 0.3333 0.7500
3 Cr 0.3333 0.6667 0.7500
4 Cr 0.6667 0.3333 0.2500
5 Ag 0.0000 0.0000 0.0000
6 Ag 0.0000 0.0000 0.5000
7 F 0.0412 0.3928 0.1495
8 F 0.0412 0.6484 0.3505
9 F 0.3516 0.3928 0.3505
10 F 0.3516 0.9588 0.1495
11 F 0.3928 0.0412 0.6495
12 F 0.3928 0.3516 0.8505
13 F 0.6072 0.6484 0.1495
14 F 0.6072 0.9588 0.3505
15 F 0.6484 0.0412 0.8505
16 F 0.6484 0.6072 0.6495
17 F 0.9588 0.3516 0.6495
18 F 0.9588 0.6072 0.8505



No. 3
DFT (PBE with a Hubbard U) results for a relaxed structure of AlCrAg2F8.

The space group is P2/m (10). The total magnetization comes out at 2.9 μB per formula unit.

a = 5.3293 Å, b = 6.0345 Å, c = 5.4354 Å
α = 90.00°, β = 92.47°, γ = 90.00°
Positions (direct):
1 Al 0.0000 0.0000 0.0000
2 Cr 0.0000 0.5000 0.0000
3 Ag 0.5000 0.2403 0.5000
4 Ag 0.5000 0.7597 0.5000
5 F 0.1703 0.2387 0.8547
6 F 0.1703 0.7613 0.8547
7 F 0.2239 0.0000 0.2498
8 F 0.2431 0.5000 0.2691
9 F 0.7569 0.5000 0.7309
10 F 0.7761 0.0000 0.7502
11 F 0.8297 0.2387 0.1453
12 F 0.8297 0.7613 0.1453



Values of calculated volume, in order: 17.645; 14.250; 14.553, all in Å³/atom.
Values of mass density, in order: 4.23; 3.90; 4.25, all in g/cm³.
Values of DFT total energy, in order: -4.69; -5.37; -5.05, all in eV/atom.